The following is a PBE calculation of crystalline CaSmBr at its relaxed geometry, from Alexandria via LeMat-Bulk.

```
CaSmBr
1.0
-3.3591 1.5589 -0.7527
0.8528 -1.0372 3.5322
5.7691 13.7012 2.6305
Ca Sm Br
2 2 2
direct
0.6112 0.2224 0.0000
0.2776 0.5552 0.5000
0.6111 0.2221 0.2975
0.6111 0.2221 0.7025
0.2778 0.5557 0.8564
0.2778 0.5557 0.1436
```

Space-group type = No. 187
Crystal system = hexagonal
Calculated density = 4.81 Mg/m³
Formation energy (no corrections) = -0.7410 eV per atom